# 1
Computed, not measured: a relaxed structure of GeBiCl2 at the GGA-PBE level of DFT.

The structure in POSCAR format:
```
GeBiCl2
1.0
0.000 3.621 3.621
3.621 0.000 3.621
3.621 3.621 0.000
Ge Bi Cl
1 1 2
Direct
0.000 0.000 0.000
0.500 0.500 0.500
0.250 0.250 0.250
0.750 0.750 0.750
```

Its magnetic moment is 0.000 μB/f.u. The excess energy over the best structure of this formula in the dataset comes out at 0.3913 eV per atom. As for the energy: -2.96 eV/atom.

=====

# 2
Computed, not measured: a relaxed structure of NdDyY14 at the GGA-PBE level of DFT.

The structure in POSCAR format:
```
NdDyY14
1.0
7.158 0.000 0.000
0.000 7.158 0.000
0.000 0.000 10.088
Nd Dy Y
1 1 14
Direct
0.000 0.000 0.000
0.500 0.500 0.000
0.000 0.000 0.500
0.000 0.500 0.000
0.000 0.500 0.500
0.251 0.251 0.250
0.251 0.251 0.750
0.251 0.749 0.250
0.251 0.749 0.750
0.500 0.000 0.000
0.500 0.000 0.500
0.500 0.500 0.500
0.749 0.251 0.250
0.749 0.251 0.750
0.749 0.749 0.250
0.749 0.749 0.750
```

Its magnetic moment is 0.000 μB/f.u. The value obtained for the energy of formation from the pure elements is 0.02 eV/atom. As for the energy: -6.22 eV/atom.

=====

# 3
Computed, not measured: a relaxed structure of LiPu4As4 at the GGA-PBE level of DFT.

The structure in POSCAR format:
```
LiPu4As4
1.0
-3.636 3.636 4.585
3.636 -3.636 4.585
3.636 3.636 -4.585
Li Pu As
1 4 4
Direct
0.000 0.000 0.000
0.000 0.500 0.500
0.325 0.325 0.000
0.500 0.000 0.500
0.675 0.675 0.000
0.082 0.631 0.000
0.369 0.369 0.451
0.631 0.082 0.000
0.918 0.918 0.549
```

Its magnetic moment is 0.074 μB/f.u. The value obtained for the energy of formation from the pure elements is -0.49 eV/atom. As for the energy: -9.14 eV/atom.

=====

# 4
Computed, not measured: a relaxed structure of MnCrW2 at the GGA-PBE level of DFT.

The structure in POSCAR format:
```
MnCrW2
1.0
3.101 0.000 0.000
0.000 4.210 0.000
0.000 0.000 4.356
Mn Cr W
1 1 2
Direct
0.000 0.000 0.000
0.500 0.000 0.500
0.000 0.500 0.500
0.500 0.500 0.000
```

Its magnetic moment is 0.920 μB/f.u. The value obtained for the energy of formation from the pure elements is 0.14 eV/atom. The excess energy over the best structure of this formula in the dataset comes out at 0.0737 eV per atom. As for the energy: -11.03 eV/atom.

=====

# 5
Computed, not measured: a relaxed structure of Na2TbDyS4 at the GGA-PBE level of DFT.

The structure in POSCAR format:
```
Na2TbDyS4
1.0
6.919 0.000 0.000
0.000 3.996 0.000
-2.304 0.000 6.683
Na Tb Dy S
2 1 1 4
Direct
0.000 0.000 0.000
0.500 0.500 0.000
0.000 0.500 0.500
0.500 0.000 0.500
0.243 0.000 0.727
0.259 0.500 0.273
0.741 0.500 0.727
0.757 0.000 0.273
```

Its magnetic moment is 0.000 μB/f.u. As for the energy: -5.40 eV/atom.

=====

# 6
Computed, not measured: a relaxed structure of Tb3SeO3 at the GGA-PBE level of DFT.

The structure in POSCAR format:
```
Tb3SeO3
1.0
3.327 1.921 6.804
-3.327 1.921 6.804
0.000 -3.842 6.804
Tb Se O
6 2 6
Direct
0.096 0.427 0.765
0.235 0.904 0.573
0.427 0.765 0.096
0.573 0.235 0.904
0.765 0.096 0.427
0.904 0.573 0.235
0.333 0.333 0.333
0.667 0.667 0.667
0.124 0.791 0.457
0.209 0.543 0.876
0.457 0.124 0.791
0.543 0.876 0.209
0.791 0.457 0.124
0.876 0.209 0.543
```

Its magnetic moment is 0.000 μB/f.u. As for the energy: -7.65 eV/atom.

=====

# 7
Computed, not measured: a relaxed structure of CaHoS2O8 at the GGA-PBE level of DFT.

The structure in POSCAR format:
```
CaHoS2O8
1.0
5.149 0.000 0.000
-2.575 4.459 0.000
0.000 0.000 7.465
Ca Ho S O
1 1 2 8
Direct
0.000 0.000 0.000
0.000 0.000 0.500
0.333 0.667 0.800
0.667 0.333 0.200
0.175 0.350 0.734
0.175 0.825 0.734
0.333 0.667 0.997
0.350 0.175 0.266
0.650 0.825 0.734
0.667 0.333 0.003
0.825 0.175 0.266
0.825 0.650 0.266
```

Its magnetic moment is 0.418 μB/f.u. As for the energy: -6.52 eV/atom.

=====

# 8
Computed, not measured: a relaxed structure of Ce2Re5C4 at the GGA-PBE level of DFT.

The structure in POSCAR format:
```
Ce2Re5C4
1.0
0.000 5.102 5.493
2.747 0.000 5.493
2.747 5.102 0.000
Ce Re C
2 5 4
Direct
0.145 0.145 0.855
0.855 0.855 0.145
0.000 0.000 0.500
0.250 0.250 0.250
0.500 0.500 0.000
0.500 0.500 0.500
0.750 0.750 0.750
0.208 0.525 0.475
0.475 0.792 0.208
0.525 0.208 0.792
0.792 0.475 0.525
```

Its magnetic moment is 0.000 μB/f.u. The value obtained for the energy of formation from the pure elements is 0.12 eV/atom. As for the energy: -9.97 eV/atom.

=====

# 9
Computed, not measured: a relaxed structure of ReTe2AuI at the GGA-PBE level of DFT.

The structure in POSCAR format:
```
ReTe2AuI
1.0
5.496 0.000 0.000
0.000 5.496 0.000
0.000 0.000 5.451
Re Te Au I
1 2 1 1
Direct
0.000 0.000 0.000
0.000 0.500 0.500
0.500 0.000 0.500
0.500 0.500 0.500
0.500 0.500 0.000
```

Its magnetic moment is 4.442 μB/f.u. The excess energy over the best structure of this formula in the dataset comes out at 0.6515 eV per atom. As for the energy: -3.22 eV/atom.

=====

# 10
Computed, not measured: a relaxed structure of Tm3Zn7Ga2 at the GGA-PBE level of DFT.

The structure in POSCAR format:
```
Tm3Zn7Ga2
1.0
2.715 1.568 8.538
-2.715 1.568 8.538
0.000 -3.135 8.538
Tm Zn Ga
3 7 2
Direct
0.000 0.000 0.000
0.142 0.142 0.142
0.858 0.858 0.858
0.077 0.588 0.588
0.412 0.412 0.923
0.412 0.923 0.412
0.500 0.500 0.500
0.588 0.077 0.588
0.588 0.588 0.077
0.923 0.412 0.412
0.335 0.335 0.335
0.665 0.665 0.665
```

Its magnetic moment is 0.000 μB/f.u. The value obtained for the energy of formation from the pure elements is -0.32 eV/atom. As for the energy: -2.68 eV/atom.

=====

# 11
Computed, not measured: a relaxed structure of MgH3I at the GGA-PBE level of DFT.

The structure in POSCAR format:
```
MgH3I
1.0
4.299 0.000 0.000
0.000 4.299 0.000
0.000 0.000 4.299
Mg H I
1 3 1
Direct
0.000 0.000 0.000
0.000 0.500 0.500
0.500 0.000 0.500
0.500 0.500 0.000
0.500 0.500 0.500
```

Its magnetic moment is 0.000 μB/f.u. The excess energy over the best structure of this formula in the dataset comes out at 0.3950 eV per atom. As for the energy: -1.72 eV/atom.

=====

# 12
Computed, not measured: a relaxed structure of NdDyEr3Tm at the GGA-PBE level of DFT.

The structure in POSCAR format:
```
NdDyEr3Tm
1.0
10.579 0.000 0.000
0.000 3.533 0.000
-3.528 0.000 10.036
Nd Dy Er Tm
2 2 6 2
Direct
0.207 0.250 0.374
0.793 0.750 0.626
0.375 0.250 0.876
0.625 0.750 0.124
0.044 0.250 0.876
0.292 0.750 0.123
0.458 0.750 0.626
0.542 0.250 0.374
0.708 0.250 0.877
0.956 0.750 0.124
0.125 0.750 0.627
0.875 0.250 0.373
```

Its magnetic moment is 0.000 μB/f.u. The value obtained for the energy of formation from the pure elements is 0.02 eV/atom. As for the energy: -4.57 eV/atom.